(1)
VASP calculation (PBE) on crystalline Rb2ErPa3O12 at its relaxed geometry.

Calculated values
Space group = No. 166

Geometry as POSCAR:
```
Rb2ErPa3O12
1.0
8.007 -0.109 -0.077
3.860 7.016 -0.077
3.860 2.247 6.647
Er O Pa Rb
1 12 3 2
Direct
0.000 0.000 0.000
0.311 0.953 0.311
0.689 0.047 0.689
0.689 0.689 0.047
0.676 0.066 0.066
0.066 0.066 0.676
0.066 0.676 0.066
0.324 0.934 0.934
0.953 0.311 0.311
0.934 0.324 0.934
0.311 0.311 0.953
0.047 0.689 0.689
0.934 0.934 0.324
0.000 0.500 0.000
0.500 0.000 0.000
0.000 0.000 0.500
0.338 0.338 0.338
0.662 0.662 0.662
```

(2)
VASP calculation (PBE) on crystalline Rb4ErPa3O12 at its relaxed geometry.

Calculated values
Space group = No. 229

Geometry as POSCAR:
```
Rb4ErPa3O12
1.0
7.641 0.000 0.000
-2.547 7.204 0.000
-2.547 -3.602 6.239
O Er Pa Rb
12 1 3 4
Direct
0.000 0.740 0.740
0.500 0.750 0.250
0.750 0.500 0.250
0.500 0.250 0.750
0.740 0.000 0.740
0.250 0.500 0.750
0.740 0.740 0.000
0.750 0.250 0.500
0.260 0.260 0.000
0.260 0.000 0.260
0.000 0.260 0.260
0.250 0.750 0.500
0.000 0.000 0.000
0.500 0.500 0.000
0.500 0.000 0.500
0.000 0.500 0.500
0.500 0.000 0.000
0.000 0.000 0.500
0.500 0.500 0.500
0.000 0.500 0.000
```

How do the records compare in energy relative to the elements, uncorrected? In the order shown, they have -2704.4, -2837.4 meV/atom.
How do the records compare in D(E_F)? In the order shown, they have 15.71, 20.85 states/eV per cell.
How do the records compare in total energy? In the order shown, they have -143.164, -153.167 eV per cell.